A plane-wave DFT calculation with PBE-GGA was carried out for a geometry-optimized CaAcPmDy structure.

## Properties
Its energy of formation from the pure elements is 0.112 eV/atom. The calculation puts the distance to the lowest polymorph of the same formula at 50.0 meV per atom. The volume is 37.60 A^3/atom.

Structure (CIF):
```
data_CaAcPmDy
_chemical_formula_sum 'Ca4 Ac4 Pm4 Dy4'
_cell_length_a 8.442
_cell_length_b 8.442
_cell_length_c 8.442
_cell_angle_alpha 90.00
_cell_angle_beta 90.00
_cell_angle_gamma 90.00
_space_group_name_H-M_alt 'F -4 3 m'
_space_group_IT_number 216
_space_group_name_Hall 'F -4 2 3'
loop_
_atom_site_label
_atom_site_fract_x
_atom_site_fract_y
_atom_site_fract_z
Ca1 0.000 0.000 0.000
Ac1 0.250 0.250 0.750
Pm1 0.250 0.250 0.250
Dy1 0.000 0.000 0.500
```

A plane-wave DFT calculation with PBE-GGA was carried out for a geometry-optimized CaAcPmDy structure.

## Properties
Its energy of formation from the pure elements is 0.062 eV/atom. The calculation puts the distance to the lowest polymorph of the same formula at 0.0 meV per atom. The volume is 37.99 A^3/atom.

Structure (CIF):
```
data_CaAcPmDy
_chemical_formula_sum 'Ca1 Ac1 Pm1 Dy1'
_cell_length_a 3.779
_cell_length_b 3.779
_cell_length_c 10.639
_cell_angle_alpha 90.00
_cell_angle_beta 90.00
_cell_angle_gamma 90.00
_space_group_name_H-M_alt 'P 4 m m'
_space_group_IT_number 99
_space_group_name_Hall 'P 4 -2'
loop_
_atom_site_label
_atom_site_fract_x
_atom_site_fract_y
_atom_site_fract_z
Ca1 0.000 0.000 0.000
Ac1 0.500 0.500 0.718
Pm1 0.000 0.000 0.466
Dy1 0.500 0.500 0.249
```

A plane-wave DFT calculation with PBE-GGA was carried out for a geometry-optimized CaAcPr6Dy2 structure.

## Properties
Its energy of formation from the pure elements is 0.128 eV/atom. The volume is 37.08 A^3/atom.

Structure (CIF):
```
data_CaAcPr6Dy2
_chemical_formula_sum 'Ca4 Ac4 Pr24 Dy8'
_cell_length_a 9.374
_cell_length_b 15.766
_cell_length_c 10.119
_cell_angle_alpha 90.00
_cell_angle_beta 97.42
_cell_angle_gamma 90.00
_space_group_name_H-M_alt 'C 1 2/c 1'
_space_group_IT_number 15
_space_group_name_Hall '-C 2yc'
loop_
_atom_site_label
_atom_site_fract_x
_atom_site_fract_y
_atom_site_fract_z
Ca1 0.000 0.096 0.250
Ac1 0.000 0.473 0.750
Pr1 0.063 0.320 0.449
Pr2 0.103 0.106 0.622
Pr3 0.207 0.267 0.824
Dy1 0.246 0.054 0.956
```

Number 1: size of the total moment 0.00 μB per formula unit. Number 2: size of the total moment 0.00 μB per formula unit. Number 3: size of the total moment 0.00 μB per formula unit.